Below is PaZnSe after structural relaxation, with properties calculated at the PBE level.

Results
DOS(E_F)   2.610 states/eV/f.u.
ΔE_f (raw)   -1.72 eV per formula unit

Cell: 3.441 3.441 11.762 Å, 90.00 90.00 90.00°
Fractional coordinates of all 6 atoms:
Se1 0.000 0.500 0.863
Se2 0.500 0.000 0.137
Zn1 0.000 0.500 0.554
Zn2 0.500 0.000 0.446
Pa1 0.000 0.500 0.269
Pa2 0.500 0.000 0.731